No. 1
## Al2NiMo (PBE)

Data for Al2NiMo after structural relaxation.

Cell: 5.0913 5.0913 5.0913 Å, 148.04 125.48 64.60°
Atoms (fractional coordinates):
Ni1 0.2500 0.7500 0.5000
Mo1 0.7500 0.2500 0.5000
Al1 0.4766 0.4766 0.0000
Al2 0.0234 0.0234 0.0000

For the calculated formation energy, the calculation gives -0.2016 eV/atom. The symmetry is No. 71. The density of states at the Fermi level comes out at 3.33 states/eV/cell. As for the total energy: -24.9 eV per formula unit. The volume comes out at 14.07 Å³ per atom.

---

No. 2
## TlRe3Te (PBE)

Data for TlRe3Te after structural relaxation.

Cell: 4.8890 4.8890 4.8890 Å, 90.00 90.00 90.00°
Last column: magnetic moment on the atom in μB.
Atoms (fractional coordinates):
Re1 0.5000 0.0000 0.0000  0.74
Te1 0.0000 0.0000 0.0000  -0.03
Tl1 0.5000 0.5000 0.5000  0.02
Re2 0.0000 0.5000 0.0000  0.70
Re3 0.0000 0.0000 0.5000  0.84

The symmetry is No. 221. Its uncorrected formation energy is 2.4468 eV/atom. The density of states at the Fermi level comes out at 14.44 states/eV/cell. As for the total energy: -30.6 eV per formula unit. The volume comes out at 23.37 Å³ per atom.

---

No. 3
## MgTa3Pb (PBE)

Data for MgTa3Pb after structural relaxation.

Cell: 5.1416 5.1416 5.1416 Å, 90.00 90.00 90.00°
Atoms (fractional coordinates):
Mg1 0.5000 0.5000 0.5000
Pb1 0.0000 0.0000 0.0000
Ta1 0.0000 0.5000 0.0000
Ta2 0.0000 0.0000 0.5000
Ta3 0.5000 0.0000 0.0000

For the calculated formation energy, the calculation gives 2.1769 eV/atom. The symmetry is No. 221. The density of states at the Fermi level comes out at 8.23 states/eV/cell. As for the total energy: -30.0 eV per formula unit. The volume comes out at 27.18 Å³ per atom.